No. 1
Computed, not measured: an optimized crystal structure of Sr3BiOs at the GGA-PBE level of DFT.

a b c (Å): 5.6903 5.6903 5.6903
angles (deg): 90.00 90.00 90.00
Last column: nearest neighbours and their distance in Å.
Fractional positions:
1 Sr 0.0000 0.5000 0.0000  2 Os 2.85
2 Sr 0.0000 0.0000 0.5000  2 Os 2.85
3 Sr 0.5000 0.0000 0.0000  2 Os 2.85
4 Os 0.0000 0.0000 0.0000  6 Sr 2.85
5 Bi 0.5000 0.5000 0.5000  12 Sr 4.02

Values from the calculation:
The calculation puts the magnetic moment at 0.002 μB/cell. The value obtained for the total energy is -3.8737 eV per atom. The value obtained for the density of states at the Fermi level is 7.5 states/eV/f.u. The calculation puts the formation energy at 158 meV/atom. Its space-group type is Pm-3m, No. 221.

No. 2
Computed, not measured: an optimized crystal structure of Tl2CS at the GGA-PBE level of DFT.

a b c (Å): 5.0378 5.0378 5.0378
angles (deg): 60.00 60.00 60.00
Last column: nearest neighbours and their distance in Å.
Fractional positions:
1 C 0.0000 0.0000 0.0000  8 Tl 3.09
2 Tl 0.2500 0.2500 0.2500  4 S 3.09, 4 C 3.09
3 Tl 0.7500 0.7500 0.7500  4 S 3.09, 4 C 3.09
4 S 0.5000 0.5000 0.5000  8 Tl 3.09

Values from the calculation:
The calculation puts the magnetic moment at 2.158 μB/cell. The value obtained for the total energy is -3.1260 eV per atom. The value obtained for the density of states at the Fermi level is 1.0 states/eV/f.u. The value obtained for the uncorrected formation energy is 1.395 eV per atom. Its space-group type is Fm-3m, No. 225. The energy above the lowest structure with this stoichiometry comes out at 0.706 eV per atom.

No. 3
Computed, not measured: an optimized crystal structure of HoW2N4 at the GGA-PBE level of DFT.

a b c (Å): 3.1280 5.2489 10.2237
angles (deg): 90.00 90.00 107.34
Last column: nearest neighbours and their distance in Å.
Fractional positions:
1 Ho 0.6273 0.2546 0.7500  6 N 2.39-2.46
2 Ho 0.3727 0.7454 0.2500  6 N 2.39-2.46
3 W 0.1180 0.2359 0.4348  6 N 1.97-2.19
4 W 0.8820 0.7641 0.9348  6 N 1.97-2.19
5 W 0.1180 0.2359 0.0652  6 N 1.97-2.19
6 W 0.8820 0.7641 0.5652  6 N 1.97-2.19
7 N 0.7651 0.5302 0.1080  3 W 2.12-2.19
8 N 0.7651 0.5302 0.3920  3 W 2.12-2.19
9 N 0.2349 0.4698 0.8920  3 W 2.12-2.19
10 N 0.2349 0.4698 0.6080  3 W 2.12-2.19
11 N 0.9384 0.8769 0.7500  2 W 1.97
12 N 0.0616 0.1231 0.2500  2 W 1.97
13 N 0.5000 0.0000 0.0000  4 W 2.07
14 N 0.5000 0.0000 0.5000  4 W 2.07

Values from the calculation:
The calculation puts the magnetic moment at 0.000 μB/cell. The value obtained for the total energy is -9.8608 eV per atom. The value obtained for the density of states at the Fermi level is 2.1 states/eV/f.u. The value obtained for the uncorrected formation energy is -0.749 eV per atom. Its space-group type is Cmcm, No. 63.

The lowest magnetic moment belongs to which entry? HoW2N4

Copy entry 2 word for word.
Computed, not measured: an optimized crystal structure of Tl2CS at the GGA-PBE level of DFT.

a b c (Å): 5.0378 5.0378 5.0378
angles (deg): 60.00 60.00 60.00
Last column: nearest neighbours and their distance in Å.
Fractional positions:
1 C 0.0000 0.0000 0.0000  8 Tl 3.09
2 Tl 0.2500 0.2500 0.2500  4 S 3.09, 4 C 3.09
3 Tl 0.7500 0.7500 0.7500  4 S 3.09, 4 C 3.09
4 S 0.5000 0.5000 0.5000  8 Tl 3.09

Values from the calculation:
The calculation puts the magnetic moment at 2.158 μB/cell. The value obtained for the total energy is -3.1260 eV per atom. The value obtained for the density of states at the Fermi level is 1.0 states/eV/f.u. The value obtained for the uncorrected formation energy is 1.395 eV per atom. Its space-group type is Fm-3m, No. 225. The energy above the lowest structure with this stoichiometry comes out at 0.706 eV per atom.